Crystalline LaBeZnAu at its relaxed geometry. Source: OQMD via LeMat-Bulk, functional PBE. Values from VASP.

Computed properties:
- Calculated total energy: -13.93 eV for the cell shown
- Calculated volume: 19.0 A^3/atom
- SG: No. 216

Cell and atoms, written as Quantum ESPRESSO input:
```
&SYSTEM
  ibrav = 0, nat = 4, ntyp = 4
/
ATOMIC_SPECIES
La 138.91 La.upf
Be 9.01 Be.upf
Zn 65.41 Zn.upf
Au 196.97 Au.upf
CELL_PARAMETERS angstrom
0.000 3.363 3.363
3.363 0.000 3.363
3.363 3.363 0.000
ATOMIC_POSITIONS crystal
La 0.000 0.000 0.000
Be 0.750 0.750 0.750
Zn 0.250 0.250 0.250
Au 0.500 0.500 0.500
```


Crystalline Dy2YTm2Lu2Cu2Te2 at its relaxed geometry. Source: OQMD via LeMat-Bulk, functional PBE. Values from VASP.

Computed properties:
- Calculated total energy: -53.74 eV for the cell shown
- Calculated volume: 26.2 A^3/atom
- SG: No. 44

Cell and atoms, written as Quantum ESPRESSO input:
```
&SYSTEM
  ibrav = 0, nat = 11, ntyp = 6
/
ATOMIC_SPECIES
Dy 162.50 Dy.upf
Y 88.91 Y.upf
Tm 168.93 Tm.upf
Lu 174.97 Lu.upf
Cu 63.55 Cu.upf
Te 127.60 Te.upf
CELL_PARAMETERS angstrom
-1.979 7.668 4.739
1.979 -7.668 4.739
1.979 7.668 -4.739
ATOMIC_POSITIONS crystal
Dy 0.145 0.000 0.145
Dy 0.855 0.000 0.855
Y 0.241 0.741 0.500
Tm 0.175 0.360 0.815
Tm 0.545 0.360 0.185
Lu 0.523 0.154 0.369
Lu 0.784 0.154 0.631
Cu 0.407 0.668 0.740
Cu 0.928 0.668 0.260
Te 0.507 0.507 0.000
Te 0.898 0.398 0.500
```


Crystalline Cu2Ag3 at its relaxed geometry. Source: OQMD via LeMat-Bulk, functional PBE. Values from VASP.

Computed properties:
- DFT formation energy: 0.07 eV per atom
- Calculated volume: 15.4 A^3/atom
- SG: No. 12

Cell and atoms, written as Quantum ESPRESSO input:
```
&SYSTEM
  ibrav = 0, nat = 5, ntyp = 2
/
ATOMIC_SPECIES
Cu 63.55 Cu.upf
Ag 107.87 Ag.upf
CELL_PARAMETERS angstrom
4.711 -1.422 0.000
4.711 1.422 0.000
-3.784 0.000 5.762
ATOMIC_POSITIONS crystal
Cu 0.115 0.115 0.400
Cu 0.885 0.885 0.600
Ag 0.322 0.322 0.228
Ag 0.500 0.500 0.000
Ag 0.678 0.678 0.772
```


Crystalline RbSrOs at its relaxed geometry. Source: OQMD via LeMat-Bulk, functional PBE. Values from VASP.

Computed properties:
- Calculated total energy: -9.60 eV for the cell shown
- Calculated volume: 35.4 A^3/atom
- SG: No. 216

Cell and atoms, written as Quantum ESPRESSO input:
```
&SYSTEM
  ibrav = 0, nat = 3, ntyp = 3
/
ATOMIC_SPECIES
Rb 85.47 Rb.upf
Sr 87.62 Sr.upf
Os 190.23 Os.upf
CELL_PARAMETERS angstrom
0.000 3.760 3.760
3.760 0.000 3.760
3.760 3.760 0.000
ATOMIC_POSITIONS crystal
Rb 0.000 0.000 0.000
Sr 0.500 0.500 0.500
Os 0.250 0.250 0.250
```


Crystalline KZrPSe6 at its relaxed geometry. Source: OQMD via LeMat-Bulk, functional PBE. Values from VASP.

Computed properties:
- Calculated total energy: -166.03 eV for the cell shown
- Calculated volume: 30.2 A^3/atom
- SG: No. 26

Cell and atoms, written as Quantum ESPRESSO input:
```
&SYSTEM
  ibrav = 0, nat = 36, ntyp = 4
/
ATOMIC_SPECIES
K 39.10 K.upf
Zr 91.22 Zr.upf
P 30.97 P.upf
Se 78.96 Se.upf
CELL_PARAMETERS angstrom
3.861 0.000 0.000
0.000 15.410 0.000
0.000 0.000 18.291
ATOMIC_POSITIONS crystal
K 0.000 0.062 0.000
K 0.000 0.382 0.994
K 0.000 0.618 0.494
K 0.000 0.938 0.500
Zr 0.500 0.215 0.776
Zr 0.500 0.307 0.410
Zr 0.500 0.693 0.910
Zr 0.500 0.785 0.276
P 0.000 0.031 0.695
P 0.000 0.378 0.245
P 0.000 0.622 0.745
P 0.000 0.969 0.195
Se 0.000 0.088 0.811
Se 0.000 0.105 0.183
Se 0.000 0.174 0.390
Se 0.000 0.251 0.504
Se 0.000 0.287 0.682
Se 0.000 0.334 0.806
Se 0.000 0.427 0.364
Se 0.000 0.469 0.159
Se 0.000 0.531 0.659
Se 0.000 0.573 0.864
Se 0.000 0.666 0.306
Se 0.000 0.713 0.182
Se 0.000 0.749 0.004
Se 0.000 0.826 0.890
Se 0.000 0.895 0.683
Se 0.000 0.912 0.311
Se 0.500 0.101 0.647
Se 0.500 0.213 0.929
Se 0.500 0.284 0.251
Se 0.500 0.437 0.511
Se 0.500 0.563 0.011
Se 0.500 0.716 0.751
Se 0.500 0.787 0.429
Se 0.500 0.899 0.147
```


Crystalline Sc2Cd at its relaxed geometry. Source: OQMD via LeMat-Bulk, functional PBE. Values from VASP.

Computed properties:
- DFT formation energy: 0.15 eV per atom
- Calculated volume: 26.3 A^3/atom
- SG: No. 225

Cell and atoms, written as Quantum ESPRESSO input:
```
&SYSTEM
  ibrav = 0, nat = 3, ntyp = 2
/
ATOMIC_SPECIES
Sc 44.96 Sc.upf
Cd 112.41 Cd.upf
CELL_PARAMETERS angstrom
0.000 3.404 3.404
3.404 0.000 3.404
3.404 3.404 0.000
ATOMIC_POSITIONS crystal
Sc 0.250 0.250 0.250
Sc 0.750 0.750 0.750
Cd 0.000 0.000 0.000
```


Crystalline KHfBeAu at its relaxed geometry. Source: OQMD via LeMat-Bulk, functional PBE. Values from VASP.

Computed properties:
- Calculated total energy: -14.67 eV for the cell shown
- Calculated volume: 19.1 A^3/atom
- SG: No. 216

Cell and atoms, written as Quantum ESPRESSO input:
```
&SYSTEM
  ibrav = 0, nat = 4, ntyp = 4
/
ATOMIC_SPECIES
K 39.10 K.upf
Hf 178.49 Hf.upf
Be 9.01 Be.upf
Au 196.97 Au.upf
CELL_PARAMETERS angstrom
0.000 3.369 3.369
3.369 0.000 3.369
3.369 3.369 0.000
ATOMIC_POSITIONS crystal
K 0.000 0.000 0.000
Hf 0.750 0.750 0.750
Be 0.500 0.500 0.500
Au 0.250 0.250 0.250
```


Crystalline Dy3ErSc2Bi2Os at its relaxed geometry. Source: OQMD via LeMat-Bulk, functional PBE. Values from VASP.

Computed properties:
- Calculated total energy: -55.69 eV for the cell shown
- Calculated volume: 26.6 A^3/atom
- SG: No. 38

Cell and atoms, written as Quantum ESPRESSO input:
```
&SYSTEM
  ibrav = 0, nat = 9, ntyp = 5
/
ATOMIC_SPECIES
Dy 162.50 Dy.upf
Er 167.26 Er.upf
Sc 44.96 Sc.upf
Bi 208.98 Bi.upf
Os 190.23 Os.upf
CELL_PARAMETERS angstrom
4.231 0.000 0.000
0.000 6.986 4.042
0.000 -6.986 4.042
ATOMIC_POSITIONS crystal
Dy 0.000 0.000 0.000
Dy 0.000 0.231 0.620
Dy 0.000 0.620 0.231
Er 0.500 0.389 0.389
Sc 0.500 0.619 0.843
Sc 0.500 0.843 0.619
Bi 0.500 0.283 0.946
Bi 0.500 0.946 0.283
Os 0.000 0.628 0.628
```


Crystalline Lu4TeC2S at its relaxed geometry. Source: OQMD via LeMat-Bulk, functional PBE. Values from VASP.

Computed properties:
- Calculated total energy: -52.64 eV for the cell shown
- Calculated volume: 19.1 A^3/atom
- SG: No. 187

Cell and atoms, written as Quantum ESPRESSO input:
```
&SYSTEM
  ibrav = 0, nat = 8, ntyp = 4
/
ATOMIC_SPECIES
Lu 174.97 Lu.upf
Te 127.60 Te.upf
C 12.01 C.upf
S 32.06 S.upf
CELL_PARAMETERS angstrom
3.658 0.000 0.000
-1.829 3.168 0.000
0.000 0.000 13.195
ATOMIC_POSITIONS crystal
Lu 0.000 0.000 0.138
Lu 0.000 0.000 0.862
Lu 0.333 0.667 0.331
Lu 0.333 0.667 0.669
Te 0.000 0.000 0.500
C 0.667 0.333 0.237
C 0.667 0.333 0.763
S 0.333 0.667 0.000
```


Crystalline HfZr2Ga3NiIr2 at its relaxed geometry. Source: OQMD via LeMat-Bulk, functional PBE. Values from VASP.

Computed properties:
- Calculated total energy: -66.55 eV for the cell shown
- Calculated volume: 16.9 A^3/atom
- SG: No. 38

Cell and atoms, written as Quantum ESPRESSO input:
```
&SYSTEM
  ibrav = 0, nat = 9, ntyp = 5
/
ATOMIC_SPECIES
Hf 178.49 Hf.upf
Zr 91.22 Zr.upf
Ga 69.72 Ga.upf
Ni 58.69 Ni.upf
Ir 192.22 Ir.upf
CELL_PARAMETERS angstrom
3.407 0.000 0.000
0.000 6.195 3.596
0.000 -6.195 3.596
ATOMIC_POSITIONS crystal
Hf 0.000 0.000 0.000
Zr 0.000 0.398 0.796
Zr 0.000 0.796 0.398
Ga 0.500 0.142 0.398
Ga 0.500 0.398 0.142
Ga 0.500 0.652 0.652
Ni 0.000 0.395 0.395
Ir 0.500 0.064 0.735
Ir 0.500 0.735 0.064
```


Crystalline DyHoCd2Ag4 at its relaxed geometry. Source: OQMD via LeMat-Bulk, functional PBE. Values from VASP.

Computed properties:
- DFT formation energy: -0.30 eV per atom
- Calculated volume: 21.2 A^3/atom
- SG: No. 123

Cell and atoms, written as Quantum ESPRESSO input:
```
&SYSTEM
  ibrav = 0, nat = 8, ntyp = 4
/
ATOMIC_SPECIES
Dy 162.50 Dy.upf
Ho 164.93 Ho.upf
Cd 112.41 Cd.upf
Ag 107.87 Ag.upf
CELL_PARAMETERS angstrom
4.934 0.000 0.000
0.000 4.934 0.000
0.000 0.000 6.975
ATOMIC_POSITIONS crystal
Dy 0.000 0.000 0.000
Ho 0.500 0.500 0.500
Cd 0.000 0.000 0.500
Cd 0.500 0.500 0.000
Ag 0.000 0.500 0.250
Ag 0.000 0.500 0.750
Ag 0.500 0.000 0.250
Ag 0.500 0.000 0.750
```


Crystalline TbIr2W5 at its relaxed geometry. Source: OQMD via LeMat-Bulk, functional PBE. Values from VASP.

Computed properties:
- DFT formation energy: 2.10 eV per atom
- Calculated volume: 19.8 A^3/atom
- SG: No. 123

Cell and atoms, written as Quantum ESPRESSO input:
```
&SYSTEM
  ibrav = 0, nat = 8, ntyp = 3
/
ATOMIC_SPECIES
Tb 158.93 Tb.upf
Ir 192.22 Ir.upf
W 183.84 W.upf
CELL_PARAMETERS angstrom
5.943 0.000 0.000
0.000 5.943 0.000
0.000 0.000 4.475
ATOMIC_POSITIONS crystal
Tb 0.000 0.000 0.000
Ir 0.000 0.500 0.500
Ir 0.500 0.000 0.500
W 0.000 0.000 0.500
W 0.296 0.296 0.000
W 0.296 0.704 0.000
W 0.704 0.296 0.000
W 0.704 0.704 0.000
```